[1]
Entry from the Alexandria database: ThMg2Rh3 after structural relaxation (PBE-GGA).

Geometry as CIF:
```
data_ThMg2Rh3
_chemical_formula_sum 'Th2 Mg4 Rh6'
_symmetry_space_group_name_H-M 'P -3 m 1'
_symmetry_Int_Tables_number 164
_symmetry_space_group_name_Hall '-P 3 2"'
_cell_length_a 4.6528
_cell_length_b 4.6528
_cell_length_c 11.4977
_cell_angle_alpha 90.00
_cell_angle_beta 90.00
_cell_angle_gamma 120.00
loop_
_atom_site_label
_atom_site_type_symbol
_atom_site_fract_x
_atom_site_fract_y
_atom_site_fract_z
Th1 Th 0.3333 0.6667 0.1780
Mg1 Mg 0.0000 0.0000 0.0000
Mg2 Mg 0.0000 0.0000 0.5000
Mg3 Mg 0.3333 0.6667 0.6458
Rh1 Rh 0.0000 0.0000 0.2630
Rh2 Rh 0.3333 0.6667 0.4162
Rh3 Rh 0.3333 0.6667 0.9213
```

## Properties
Energy of formation: -689 meV/atom
M_tot: 0.0 Bohr magnetons per cell



[2]
Entry from the Alexandria database: PbAu2Br after structural relaxation (PBE-GGA).

Geometry as CIF:
```
data_PbAu2Br
_chemical_formula_sum 'Pb2 Au4 Br2'
_symmetry_space_group_name_H-M 'C m m m'
_symmetry_Int_Tables_number 65
_symmetry_space_group_name_Hall '-C 2 2'
_cell_length_a 5.893
_cell_length_b 8.845
_cell_length_c 3.977
_cell_angle_alpha 90.00
_cell_angle_beta 90.00
_cell_angle_gamma 90.00
loop_
_atom_site_label
_atom_site_type_symbol
_atom_site_fract_x
_atom_site_fract_y
_atom_site_fract_z
Pb1 Pb 0.000 0.000 0.000
Au1 Au 0.000 0.244 0.500
Br1 Br 0.000 0.500 0.000
```

## Properties
M_tot: 0.0 Bohr magnetons per cell
Formation energy (no corrections): -0.048 eV/atom



[3]
Entry from the Alexandria database: CdPt5 after structural relaxation (PBE-GGA).

Geometry as CIF:
```
data_CdPt5
_chemical_formula_sum 'Cd1 Pt5'
_symmetry_space_group_name_H-M 'P 4/m m m'
_symmetry_Int_Tables_number 123
_symmetry_space_group_name_Hall '-P 4 2'
_cell_length_a 2.831
_cell_length_b 2.831
_cell_length_c 12.143
_cell_angle_alpha 90.00
_cell_angle_beta 90.00
_cell_angle_gamma 90.00
loop_
_atom_site_label
_atom_site_type_symbol
_atom_site_fract_x
_atom_site_fract_y
_atom_site_fract_z
Cd1 Cd 0.000 0.000 0.000
Pt1 Pt 0.000 0.000 0.338
Pt2 Pt 0.500 0.500 0.174
Pt3 Pt 0.500 0.500 0.500
```

## Properties
Energy of formation: -107 meV/atom
M_tot: 0.0 Bohr magnetons per cell



[4]
Entry from the Alexandria database: ErPuSc2S4 after structural relaxation (PBE-GGA).

Geometry as CIF:
```
data_ErPuSc2S4
_chemical_formula_sum 'Er1 Pu1 Sc2 S4'
_symmetry_space_group_name_H-M 'P 1 2/m 1'
_symmetry_Int_Tables_number 10
_cell_length_a 6.919
_cell_length_b 3.997
_cell_length_c 8.176
_cell_angle_alpha 90.00
_cell_angle_beta 106.41
_cell_angle_gamma 90.00
loop_
_symmetry_equiv_pos_as_xyz
'x,y,z'
'-x,-y,-z'
'-x,y,-z'
'x,-y,z'
loop_
_atom_site_label
_atom_site_type_symbol
_atom_site_fract_x
_atom_site_fract_y
_atom_site_fract_z
Er1 Er 0.000 0.000 0.000
Pu1 Pu 0.500 0.500 0.000
Sc1 Sc 0.000 0.500 0.500
Sc2 Sc 0.500 0.000 0.500
S1 S 0.095 0.500 0.813
S2 S 0.389 0.000 0.187
```

## Properties
M_tot: 5.6 Bohr magnetons per cell
Formation energy (no corrections): -1.344 eV/atom



[5]
Entry from the Alexandria database: GdTh3C after structural relaxation (PBE-GGA).

Geometry as CIF:
```
data_GdTh3C
_chemical_formula_sum 'Gd1 Th3 C1'
_symmetry_space_group_name_H-M 'P m -3 m'
_symmetry_Int_Tables_number 221
_symmetry_space_group_name_Hall '-P 4 2 3'
_cell_length_a 5.168
_cell_length_b 5.168
_cell_length_c 5.168
_cell_angle_alpha 90.00
_cell_angle_beta 90.00
_cell_angle_gamma 90.00
loop_
_atom_site_label
_atom_site_type_symbol
_atom_site_fract_x
_atom_site_fract_y
_atom_site_fract_z
Gd1 Gd 0.000 0.000 0.000
Th1 Th 0.000 0.500 0.500
C1 C 0.500 0.500 0.500
```

## Properties
Energy of formation: -100 meV/atom
M_tot: 7.3 Bohr magnetons per cell



[6]
Entry from the Alexandria database: Ba2ZrAs after structural relaxation (PBE-GGA).

Geometry as CIF:
```
data_Ba2ZrAs
_chemical_formula_sum 'Ba4 Zr2 As2'
_symmetry_space_group_name_H-M 'I -4 m 2'
_symmetry_Int_Tables_number 119
_symmetry_space_group_name_Hall 'I -4 -2'
_cell_length_a 4.904
_cell_length_b 4.904
_cell_length_c 10.345
_cell_angle_alpha 90.00
_cell_angle_beta 90.00
_cell_angle_gamma 90.00
loop_
_atom_site_label
_atom_site_type_symbol
_atom_site_fract_x
_atom_site_fract_y
_atom_site_fract_z
Ba1 Ba 0.000 0.000 0.000
Ba2 Ba 0.000 0.500 0.250
Zr1 Zr 0.000 0.500 0.750
As1 As 0.000 0.000 0.500
```

## Properties
Energy of formation: 156 meV/atom
M_tot: 0.0 Bohr magnetons per cell



[7]
Entry from the Alexandria database: HgC2 after structural relaxation (PBE-GGA).

Geometry as CIF:
```
data_HgC2
_chemical_formula_sum 'Hg4 C8'
_symmetry_space_group_name_H-M 'C m c m'
_symmetry_Int_Tables_number 63
_symmetry_space_group_name_Hall '-C 2c 2'
_cell_length_a 2.607
_cell_length_b 20.918
_cell_length_c 6.375
_cell_angle_alpha 90.00
_cell_angle_beta 90.00
_cell_angle_gamma 90.00
loop_
_atom_site_label
_atom_site_type_symbol
_atom_site_fract_x
_atom_site_fract_y
_atom_site_fract_z
Hg1 Hg 0.000 0.247 0.250
C1 C 0.000 0.055 0.750
C2 C 0.000 0.445 0.250
```

## Properties
Energy of formation: 729 meV/atom
M_tot: 0.0 Bohr magnetons per cell



[8]
Entry from the Alexandria database: LiCePrGd after structural relaxation (PBE-GGA).

Geometry as CIF:
```
data_LiCePrGd
_chemical_formula_sum 'Li4 Ce4 Pr4 Gd4'
_symmetry_space_group_name_H-M 'F -4 3 m'
_symmetry_Int_Tables_number 216
_symmetry_space_group_name_Hall 'F -4 2 3'
_cell_length_a 7.753
_cell_length_b 7.753
_cell_length_c 7.753
_cell_angle_alpha 90.00
_cell_angle_beta 90.00
_cell_angle_gamma 90.00
loop_
_atom_site_label
_atom_site_type_symbol
_atom_site_fract_x
_atom_site_fract_y
_atom_site_fract_z
Li1 Li 0.000 0.000 0.000
Ce1 Ce 0.000 0.000 0.500
Pr1 Pr 0.250 0.250 0.750
Gd1 Gd 0.250 0.250 0.250
```

## Properties
Energy of formation: 252 meV/atom
M_tot: 40.7 Bohr magnetons per cell



[9]
Entry from the Alexandria database: Cs2CdBr after structural relaxation (PBE-GGA).

Geometry as CIF:
```
data_Cs2CdBr
_chemical_formula_sum 'Cs8 Cd4 Br4'
_symmetry_space_group_name_H-M 'C m c m'
_symmetry_Int_Tables_number 63
_symmetry_space_group_name_Hall '-C 2c 2'
_cell_length_a 5.296
_cell_length_b 30.801
_cell_length_c 5.313
_cell_angle_alpha 90.00
_cell_angle_beta 90.00
_cell_angle_gamma 90.00
loop_
_atom_site_label
_atom_site_type_symbol
_atom_site_fract_x
_atom_site_fract_y
_atom_site_fract_z
Cs1 Cs 0.000 0.072 0.250
Cs2 Cs 0.000 0.310 0.250
Cd1 Cd 0.000 0.478 0.250
Br1 Br 0.000 0.193 0.250
```

## Properties
M_tot: 0.0 Bohr magnetons per cell
Formation energy (no corrections): -0.896 eV/atom



[10]
Entry from the Alexandria database: CaLaAl after structural relaxation (PBE-GGA).

Geometry as CIF:
```
data_CaLaAl
_chemical_formula_sum 'Ca4 La4 Al4'
_symmetry_space_group_name_H-M 'C 1 2/m 1'
_symmetry_Int_Tables_number 12
_cell_length_a 11.287
_cell_length_b 5.276
_cell_length_c 6.880
_cell_angle_alpha 90.00
_cell_angle_beta 116.48
_cell_angle_gamma 90.00
loop_
_symmetry_equiv_pos_as_xyz
'x,y,z'
'-x,-y,-z'
'-x,y,-z'
'x,-y,z'
'x+1/2,y+1/2,z'
'-x+1/2,-y+1/2,-z'
'-x+1/2,y+1/2,-z'
'x+1/2,-y+1/2,z'
loop_
_atom_site_label
_atom_site_type_symbol
_atom_site_fract_x
_atom_site_fract_y
_atom_site_fract_z
Ca1 Ca 0.190 0.000 0.126
La1 La 0.054 0.500 0.316
Al1 Al 0.134 0.000 0.614
```

## Properties
Energy of formation: -219 meV/atom
M_tot: 0.0 Bohr magnetons per cell



[11]
Entry from the Alexandria database: GeBiTeAu after structural relaxation (PBE-GGA).

Geometry as CIF:
```
data_GeBiTeAu
_chemical_formula_sum 'Ge6 Bi6 Te6 Au6'
_symmetry_space_group_name_H-M 'R -3 m'
_symmetry_Int_Tables_number 166
_symmetry_space_group_name_Hall '-R 3 2"'
_cell_length_a 4.8645
_cell_length_b 4.8645
_cell_length_c 35.0051
_cell_angle_alpha 90.00
_cell_angle_beta 90.00
_cell_angle_gamma 120.00
loop_
_atom_site_label
_atom_site_type_symbol
_atom_site_fract_x
_atom_site_fract_y
_atom_site_fract_z
Ge1 Ge 0.0000 0.0000 0.0959
Bi1 Bi 0.0000 0.0000 0.2942
Te1 Te 0.0000 0.0000 0.2075
Au1 Au 0.0000 0.0000 0.3858
```

## Properties
M_tot: 0.0 Bohr magnetons per cell
Formation energy (no corrections): 0.121 eV/atom



[12]
Entry from the Alexandria database: TmOs6 after structural relaxation (PBE-GGA).

Geometry as CIF:
```
data_TmOs6
_chemical_formula_sum 'Tm2 Os12'
_symmetry_space_group_name_H-M 'I m -3 m'
_symmetry_Int_Tables_number 229
_symmetry_space_group_name_Hall '-I 4 2 3'
_cell_length_a 6.790
_cell_length_b 6.790
_cell_length_c 6.790
_cell_angle_alpha 90.00
_cell_angle_beta 90.00
_cell_angle_gamma 90.00
loop_
_atom_site_label
_atom_site_type_symbol
_atom_site_fract_x
_atom_site_fract_y
_atom_site_fract_z
Tm1 Tm 0.000 0.000 0.000
Os1 Os 0.000 0.250 0.500
```

## Properties
Energy of formation: 849 meV/atom
M_tot: 0.0 Bohr magnetons per cell



[13]
Entry from the Alexandria database: KHgW3 after structural relaxation (PBE-GGA).

Geometry as CIF:
```
data_KHgW3
_chemical_formula_sum 'K1 Hg1 W3'
_symmetry_space_group_name_H-M 'P m -3 m'
_symmetry_Int_Tables_number 221
_symmetry_space_group_name_Hall '-P 4 2 3'
_cell_length_a 4.584
_cell_length_b 4.584
_cell_length_c 4.584
_cell_angle_alpha 90.00
_cell_angle_beta 90.00
_cell_angle_gamma 90.00
loop_
_atom_site_label
_atom_site_type_symbol
_atom_site_fract_x
_atom_site_fract_y
_atom_site_fract_z
K1 K 0.000 0.000 0.000
Hg1 Hg 0.500 0.500 0.500
W1 W 0.000 0.000 0.500
```

## Properties
Energy of formation: 3614 meV/atom
M_tot: 0.0 Bohr magnetons per cell